# 1
LiU3O8, relaxed, DFT GGA-PBE; raw total energy = -9.378 eV/atom; space-group type = Amm2; spin magnetization = 3.0 μB per cell
1.0
3.4378 -5.9836 0.0000
3.4378 5.9836 0.0000
0.0000 0.0000 4.2258
O U Li
8 3 1
Direct
0.4290 0.4290 0.0000
0.3398 0.6610 0.5000
0.3513 0.0177 0.0000
0.6610 0.3398 0.5000
0.0177 0.3513 0.0000
0.6848 0.9375 0.0000
0.9375 0.6848 0.0000
0.0812 0.0812 0.5000
0.3326 0.6913 0.0000
0.0338 0.0338 0.0000
0.6913 0.3326 0.0000
0.3874 0.3874 0.5000



# 2
TiBiB2, relaxed, DFT GGA-PBE; calculated formation energy = 0.93 eV per atom; space-group type = I-42d; spin magnetization = 0.0 μB per cell
1.0
5.7908 0.0000 0.0000
0.0000 5.7908 0.0000
2.8954 2.8954 4.2186
B Bi Ti
4 2 2
Direct
0.3750 0.3966 0.7500
0.1466 0.6250 0.2500
0.8750 0.8534 0.7500
0.6034 0.1250 0.2500
0.0000 0.0000 0.0000
0.7500 0.2500 0.5000
0.2500 0.7500 0.5000
0.5000 0.5000 0.0000



# 3
LaCo2, relaxed, DFT GGA-PBE; calculated formation energy = 0.15 eV per atom; space-group type = Cmcm; spin magnetization = 4.2 μB per cell
1.0
1.7943 -9.2844 0.0000
1.7943 9.2844 0.0000
0.0000 0.0000 3.6128
La Co
2 4
Direct
0.8416 0.1584 0.2500
0.1584 0.8416 0.7500
0.5428 0.4572 0.7500
0.0439 0.9561 0.2500
0.4572 0.5428 0.2500
0.9561 0.0439 0.7500



# 4
CaPm2SmTl4, relaxed, DFT GGA-PBE; calculated formation energy = -0.39 eV per atom; space-group type = R-3m; spin magnetization = 0.0 μB per cell
1.0
-2.1058 -4.2084 -2.7857
1.4054 -5.1209 1.3063
-7.1050 -3.5145 5.3127
Pm Tl Ca Sm
2 4 1 1
Direct
0.7538 0.7538 0.7387
0.2462 0.2462 0.2613
0.3736 0.3736 0.8791
0.1234 0.1234 0.6298
0.6264 0.6264 0.1209
0.8766 0.8766 0.3702
0.5000 0.5000 0.5000
0.0000 0.0000 0.0000



# 5
Ta2GaO, relaxed, DFT GGA-PBE; distance to the lowest polymorph of the same formula = 153 meV/atom; space-group type = Fm-3m; spin magnetization = 0.0 μB per cell
1.0
0.0000 3.0669 3.0669
3.0669 0.0000 3.0669
3.0669 3.0669 0.0000
Ta O Ga
2 1 1
Direct
0.2500 0.2500 0.2500
0.7500 0.7500 0.7500
0.0000 0.0000 0.0000
0.5000 0.5000 0.5000



# 6
Nd2ScBi2, relaxed, DFT GGA-PBE; calculated formation energy = -0.61 eV per atom; space-group type = Ibam; spin magnetization = 1.7 μB per cell
1.0
6.4132 0.0000 0.0000
0.0000 8.3138 0.0000
-3.2066 -4.1569 6.2169
Bi Nd Sc
4 4 2
Direct
0.8885 0.1274 0.7770
0.1115 0.8726 0.2230
0.3885 0.6496 0.7770
0.6115 0.3504 0.2230
0.6425 0.9922 0.2851
0.8575 0.7071 0.7149
0.3575 0.0078 0.7149
0.1425 0.2929 0.2851
0.2500 0.5000 0.0000
0.7500 0.5000 0.0000



# 7
TlPtAu2, relaxed, DFT GGA-PBE; calculated formation energy = 0.09 eV per atom; distance to the lowest polymorph of the same formula = 9 meV/atom; space-group type = C2/m; spin magnetization = 0.0 μB per cell
1.0
4.9004 -0.0102 -0.0346
-2.4520 5.3803 0.0198
-0.0035 0.8562 2.9131
Au Pt Tl
2 1 1
Direct
0.5000 0.0000 0.5000
0.0000 0.0000 0.0000
0.0000 0.5000 0.5000
0.5000 0.5000 0.0000



# 8
K3ZnAu, relaxed, DFT GGA-PBE; calculated formation energy = -0.13 eV per atom; distance to the lowest polymorph of the same formula = 0 meV/atom; space-group type = P2_1/m; spin magnetization = 0.0 μB per cell
1.0
4.6551 0.0000 -0.0181
0.0000 10.8424 0.0000
0.0266 0.0000 8.0012
Au Zn K
2 2 6
Direct
0.7488 0.2500 0.4995
0.2512 0.7500 0.5005
0.2489 0.2500 0.6446
0.7511 0.7500 0.3554
0.2493 0.0397 0.3132
0.7507 0.5397 0.6868
0.7507 0.9603 0.6868
0.2514 0.7500 0.0190
0.7486 0.2500 0.9810
0.2493 0.4603 0.3132



# 9
Hg2SbI, relaxed, DFT GGA-PBE; distance to the lowest polymorph of the same formula = 162 meV/atom; space-group type = P2/c; spin magnetization = 0.0 μB per cell
1.0
6.3456 0.0000 0.0000
0.0000 6.3494 0.2776
0.0000 -0.4688 12.3290
I Sb Hg
4 4 8
Direct
0.2504 0.4998 0.1248
0.2504 0.0002 0.3752
0.7496 0.5002 0.8752
0.7496 0.9998 0.6248
0.7511 0.9940 0.1251
0.2489 0.4940 0.6251
0.7511 0.5060 0.3749
0.2489 0.0060 0.8749
0.7474 0.0010 0.8860
0.7474 0.4990 0.6140
0.2494 0.5139 0.8637
0.2494 0.9861 0.6363
0.7506 0.0139 0.3637
0.2526 0.9990 0.1140
0.2526 0.5010 0.3860
0.7506 0.4861 0.1363



# 10
La2ZnCu, relaxed, DFT GGA-PBE; calculated formation energy = 0.09 eV per atom; space-group type = I-42d; spin magnetization = 0.0 μB per cell
1.0
8.1579 0.0000 0.0000
0.0000 8.1579 0.0000
4.0789 4.0789 3.3140
Cu La Zn
2 4 2
Direct
0.2500 0.7500 0.5000
0.5000 0.5000 0.0000
0.8750 0.8390 0.7500
0.3750 0.4110 0.7500
0.5890 0.1250 0.2500
0.1610 0.6250 0.2500
0.0000 0.0000 0.0000
0.7500 0.2500 0.5000



# 11
CuTeRu, relaxed, DFT GGA-PBE; distance to the lowest polymorph of the same formula = 182 meV/atom; space-group type = I4mm; spin magnetization = 0.4 μB per cell
1.0
4.7892 0.0009 0.0000
2.3307 4.1838 0.0000
-3.5600 -2.0924 2.4259
Cu Ru Te
1 1 1
Direct
0.9950 0.9950 0.0000
0.3311 0.3311 0.0000
0.6739 0.6739 0.0000



# 12
V5Ir2Pt4, relaxed, DFT GGA-PBE; calculated formation energy = -0.52 eV per atom; space-group type = Pbam; spin magnetization = 0.0 μB per cell
1.0
-2.4836 -1.1757 -0.0532
2.9706 -6.2582 -0.3726
0.0920 -0.9494 16.6806
Pt V Ir
8 10 4
Direct
0.5000 0.7910 0.9322
0.5000 0.4286 0.8567
0.5000 0.2090 0.0678
0.5000 0.5714 0.1433
0.5000 0.9286 0.6433
0.5000 0.0714 0.3567
0.5000 0.2910 0.5678
0.5000 0.7090 0.4322
0.0000 0.5000 0.0000
0.0000 0.2595 0.2092
0.0000 0.3563 0.4340
0.0000 0.7405 0.7908
0.0000 0.1437 0.9340
0.0000 0.0000 0.5000
0.0000 0.2405 0.7092
0.0000 0.6437 0.5660
0.0000 0.7595 0.2908
0.0000 0.8563 0.0660
0.5000 0.4526 0.3070
0.5000 0.9526 0.1930
0.5000 0.5474 0.6930
0.5000 0.0474 0.8070



# 13
LiAs5, relaxed, DFT GGA-PBE; calculated formation energy = 0.14 eV per atom; distance to the lowest polymorph of the same formula = 234 meV/atom; space-group type = Amm2; spin magnetization = 0.0 μB per cell
1.0
-2.8194 -3.1582 -7.8200
2.4915 0.3209 8.5302
-4.5809 0.8563 1.3058
As Li
5 1
Direct
0.6715 0.3285 0.0000
0.7310 0.2690 0.5000
0.3819 0.6181 0.0000
0.0034 0.9966 0.0000
0.4544 0.5456 0.5000
0.0911 0.9089 0.5000



# 14
Br2O, relaxed, DFT GGA-PBE; raw total energy = -2.567 eV/atom; space-group type = Pna2_1; spin magnetization = 0.0 μB per cell
1.0
4.4043 0.0000 0.0000
0.0000 7.0713 0.0000
0.0000 0.0000 10.4542
Br O
8 4
Direct
0.5405 0.0041 0.2828
0.0405 0.5041 0.2172
0.1208 0.8208 0.9943
0.6208 0.3208 0.5057
0.8792 0.3208 0.0057
0.3792 0.8208 0.4943
0.9595 0.0041 0.7828
0.4595 0.5041 0.7172
0.7177 0.1970 0.8498
0.2177 0.6970 0.6502
0.2823 0.6970 0.1502
0.7823 0.1970 0.3498



# 15
As2BrCl, relaxed, DFT GGA-PBE; distance to the lowest polymorph of the same formula = 681 meV/atom; space-group type = Pmmm; spin magnetization = 0.0 μB per cell
1.0
3.2758 0.0000 0.0000
0.0000 5.8404 0.0000
0.0000 0.0000 4.5605
Br As Cl
1 2 1
Direct
0.5000 0.0000 0.5000
0.5000 0.5000 0.0000
0.0000 0.0000 0.0000
0.0000 0.5000 0.5000



# 16
Nb2AlH, relaxed, DFT GGA-PBE; raw total energy = -6.162 eV/atom; space-group type = R-3m; spin magnetization = 0.0 μB per cell
1.0
4.3559 0.0000 0.0000
2.1779 3.7723 0.0000
2.1779 1.2574 5.2296
H Nb Al
1 2 1
Direct
0.0000 0.0000 0.0000
0.8826 0.8826 0.3522
0.1174 0.1174 0.6478
0.5000 0.5000 0.5000



# 17
LaTa, relaxed, DFT GGA-PBE; calculated formation energy = 0.73 eV per atom; distance to the lowest polymorph of the same formula = 446 meV/atom; space-group type = R-3m; spin magnetization = 0.0 μB per cell
1.0
6.0127 0.0748 0.0455
5.1623 3.0837 0.0455
5.1623 1.4591 2.7171
Ta La
1 1
Direct
0.5000 0.5000 0.5000
0.0000 0.0000 0.0000



# 18
Y2Mg2F, relaxed, DFT GGA-PBE; distance to the lowest polymorph of the same formula = 578 meV/atom; space-group type = I4/mmm; spin magnetization = 0.0 μB per cell
1.0
-2.0351 -2.7619 2.4784
3.6982 -1.2758 1.6150
0.2201 3.8443 8.0785
Mg Y F
2 2 1
Direct
0.5906 0.5906 0.8188
0.4094 0.4094 0.1812
0.2500 0.7500 0.5000
0.7500 0.2500 0.5000
0.0000 0.0000 0.0000



# 19
PPdICl2, relaxed, DFT GGA-PBE; distance to the lowest polymorph of the same formula = 0 meV/atom; space-group type = P4/mmm; spin magnetization = 0.0 μB per cell
1.0
-3.2816 2.8304 2.1858
-3.4254 -3.3400 -0.8176
1.0344 -2.1096 4.2847
Cl Pd I P
2 1 1 1
Direct
0.0000 0.5000 0.0000
0.5000 0.0000 0.0000
0.0000 0.0000 0.0000
0.5000 0.5000 0.5000
0.0000 0.0000 0.5000



# 20
Nb2Tc2Pd, relaxed, DFT GGA-PBE; calculated formation energy = 0.08 eV per atom; space-group type = P4/mbm; spin magnetization = 0.0 μB per cell
1.0
7.2744 0.0000 0.0000
0.0000 7.2744 0.0000
0.0000 0.0000 3.1835
Nb Tc Pd
4 4 2
Direct
0.1666 0.6666 0.5000
0.6666 0.8334 0.5000
0.8334 0.3334 0.5000
0.3334 0.1666 0.5000
0.8653 0.6347 0.0000
0.6347 0.1347 0.0000
0.1347 0.3653 0.0000
0.3653 0.8653 0.0000
0.0000 0.0000 0.0000
0.5000 0.5000 0.0000



# 21
Cd2Ag7Hg2, relaxed, DFT GGA-PBE; calculated formation energy = 0.05 eV per atom; distance to the lowest polymorph of the same formula = 0 meV/atom; space-group type = Imm2; spin magnetization = 0.0 μB per cell
1.0
-4.4082 -1.2608 0.6039
-0.9327 -0.2380 -7.3060
4.4306 -5.4159 3.3272
Ag Cd Hg
7 2 2
Direct
0.5000 0.9149 0.0000
0.1408 0.4678 0.2816
0.1394 0.0609 0.2788
0.8592 0.1862 0.7184
0.8606 0.7821 0.7212
0.3463 0.4719 0.6925
0.6537 0.7794 0.3075
0.0000 0.6264 0.0000
0.5000 0.3231 0.0000
0.2939 0.9145 0.5878
0.7061 0.3266 0.4122



# 22
La3Sm2Tl3, relaxed, DFT GGA-PBE; calculated formation energy = -0.27 eV per atom; distance to the lowest polymorph of the same formula = 37 meV/atom; space-group type = P-62m; spin magnetization = 0.1 μB per cell
1.0
3.5260 0.0000 0.0000
0.0000 9.0018 0.0000
0.0000 -4.5009 7.7958
Sm Tl La
2 3 3
Direct
0.0000 0.6667 0.3333
0.0000 0.3333 0.6667
0.5000 0.6137 0.0000
0.5000 0.3863 0.3863
0.5000 0.0000 0.6137
0.0000 0.7552 0.7552
0.0000 0.0000 0.2448
0.0000 0.2448 0.0000



# 23
SbPd2PtC, relaxed, DFT GGA-PBE; raw total energy = -5.231 eV/atom; space-group type = P4/mmm; spin magnetization = 0.0 μB per cell
1.0
5.1310 0.0000 0.0000
0.0000 3.7207 0.0000
0.0000 0.0000 5.1310
Pt C Sb Pd
1 1 1 2
Direct
0.0000 0.0000 0.0000
0.0000 0.5000 0.0000
0.5000 0.5000 0.5000
0.5000 0.0000 0.0000
0.0000 0.0000 0.5000



# 24
La2TbNdEr2, relaxed, DFT GGA-PBE; calculated formation energy = 0.06 eV per atom; space-group type = Pmc2_1; spin magnetization = 0.0 μB per cell
1.0
5.7262 0.0000 0.0000
0.0000 7.1096 0.0000
0.0000 0.0000 9.9111
Nd La Tb Er
2 4 2 4
Direct
0.5000 0.2575 0.6683
0.5000 0.7575 0.3317
0.5000 0.5078 0.0003
0.5000 0.0078 0.9997
0.0000 0.7580 0.1766
0.0000 0.2580 0.8234
0.0000 0.0074 0.5001
0.0000 0.5074 0.4999
0.5000 0.7573 0.6599
0.0000 0.2578 0.1674
0.0000 0.7578 0.8326
0.5000 0.2573 0.3401